# 1
Computed, not measured: a relaxed Ta2AsP2 crystal at the PBE level of DFT.

Cell: 7.117 7.117 3.213 Å, 90.00 90.00 90.00°
Space group P4/mbm (No. 127)
Symmetry-distinct sites (fractional):
Ta 0.151 0.349 0.000 [4 per cell]
As 0.000 0.000 0.000 [2 per cell]
P 0.135 0.635 0.500 [4 per cell]

Total energy: -8.3071 eV per atom
Density: 10.18 Mg/m³
DOS at the Fermi energy: 6.4 states/eV/cell
E_form: -0.472 eV per atom



# 2
Computed, not measured: a relaxed TaTeAs2P crystal at the PBE level of DFT.

Cell: 5.088 5.088 4.749 Å, 90.00 90.00 90.00°
Space group P4/mmm (No. 123)
Symmetry-distinct sites (fractional):
Ta 0.000 0.000 0.000 [1 per cell]
Te 0.500 0.500 0.500 [1 per cell]
As 0.000 0.500 0.000 [2 per cell]
P 0.000 0.000 0.500 [1 per cell]

Total energy: -5.5361 eV per atom
Density: 6.61 Mg/m³
DOS at the Fermi energy: 3.8 states/eV/cell
Formation energy (no corrections): 0.405 eV per atom



# 3
Computed, not measured: a relaxed Ta2TiAsP crystal at the PBE level of DFT.

Cell: 4.752 4.752 4.607 Å, 90.00 90.00 90.00°
Space group P4/mmm (No. 123)
Symmetry-distinct sites (fractional):
Ta 0.000 0.500 0.000 [2 per cell]
Ti 0.000 0.000 0.500 [1 per cell]
As 0.000 0.000 0.000 [1 per cell]
P 0.500 0.500 0.500 [1 per cell]

Total energy: -7.3823 eV per atom
Density: 8.23 Mg/m³
DOS at the Fermi energy: 7.3 states/eV/cell
E_form: 0.950 eV per atom



# 4
Computed, not measured: a relaxed Tb5As4P crystal at the PBE level of DFT.

Cell: 9.207 9.207 5.824 Å, 90.00 90.00 90.00°
Space group I4/m (No. 87)
Symmetry-distinct sites (fractional):
Tb 0.000 0.000 0.000 [2 per cell]
Tb 0.099 0.296 0.500 [8 per cell]
As 0.099 0.300 0.000 [8 per cell]
P 0.000 0.000 0.500 [2 per cell]

Total energy: -6.2693 eV per atom
Density: 7.57 Mg/m³
DOS at the Fermi energy: 1.4 states/eV/cell
E_form: -1.553 eV per atom